# Cs12Hg2Au5, optimized geometry, DFT GGA-PBE
data_Cs12Hg2Au5
_chemical_formula_sum 'Cs24 Hg4 Au10'
_symmetry_space_group_name_H-M 'C 1 2/m 1'
_symmetry_Int_Tables_number 12
_cell_length_a 19.498
_cell_length_b 9.734
_cell_length_c 13.011
_cell_angle_alpha 90.00
_cell_angle_beta 104.94
_cell_angle_gamma 90.00
loop_
_symmetry_equiv_pos_as_xyz
'x,y,z'
'-x,-y,-z'
'-x,y,-z'
'x,-y,z'
'x+1/2,y+1/2,z'
'-x+1/2,-y+1/2,-z'
'-x+1/2,y+1/2,-z'
'x+1/2,-y+1/2,z'
loop_
_atom_site_label
_atom_site_type_symbol
_atom_site_fract_x
_atom_site_fract_y
_atom_site_fract_z
Cs1 Cs 0.048 0.000 0.343
Cs2 Cs 0.097 0.500 0.290
Cs3 Cs 0.129 0.246 0.984
Cs4 Cs 0.191 0.263 0.655
Hg1 Hg 0.000 0.346 0.500
Au1 Au 0.000 0.500 0.000
Au2 Au 0.231 0.000 0.494
Au3 Au 0.243 0.000 0.868
# Total moment   0.4 μB per formula unit
# Crystal system   monoclinic
# Density of states at the Fermi level   0.68 states/eV per atom

# Cs2HgAu2, optimized geometry, DFT GGA-PBE
data_Cs2HgAu2
_chemical_formula_sum 'Cs4 Hg2 Au4'
_symmetry_space_group_name_H-M 'P 4/m b m'
_symmetry_Int_Tables_number 127
_symmetry_space_group_name_Hall '-P 4 2ab'
_cell_length_a 10.118
_cell_length_b 10.118
_cell_length_c 4.395
_cell_angle_alpha 90.00
_cell_angle_beta 90.00
_cell_angle_gamma 90.00
loop_
_atom_site_label
_atom_site_type_symbol
_atom_site_fract_x
_atom_site_fract_y
_atom_site_fract_z
Cs1 Cs 0.148 0.352 0.000
Hg1 Hg 0.000 0.000 0.000
Au1 Au 0.147 0.647 0.500
# Total moment   0.0 μB per formula unit
# Crystal system   tetragonal
# Density of states at the Fermi level   0.00 states/eV per atom
# Excess energy over the best structure of this formula in the dataset   0.0797 eV/atom

# Cs3Hg9Au2, optimized geometry, DFT GGA-PBE
data_Cs3Hg9Au2
_chemical_formula_sum 'Cs6 Hg18 Au4'
_symmetry_space_group_name_H-M 'I m m m'
_symmetry_Int_Tables_number 71
_symmetry_space_group_name_Hall '-I 2 2'
_cell_length_a 5.162
_cell_length_b 12.278
_cell_length_c 15.119
_cell_angle_alpha 90.00
_cell_angle_beta 90.00
_cell_angle_gamma 90.00
loop_
_atom_site_label
_atom_site_type_symbol
_atom_site_fract_x
_atom_site_fract_y
_atom_site_fract_z
Cs1 Cs 0.000 0.000 0.000
Cs2 Cs 0.000 0.000 0.318
Hg1 Hg 0.000 0.282 0.116
Hg2 Hg 0.000 0.357 0.329
Hg3 Hg 0.000 0.500 0.000
Au1 Au 0.000 0.234 0.500
# Total moment   0.0 μB per formula unit
# Crystal system   orthorhombic
# Density of states at the Fermi level   0.27 states/eV per atom

# CsHg14Au, optimized geometry, DFT GGA-PBE
data_CsHg14Au
_chemical_formula_sum 'Cs2 Hg28 Au2'
_symmetry_space_group_name_H-M 'A m m 2'
_symmetry_Int_Tables_number 38
_cell_length_a 9.178
_cell_length_b 8.411
_cell_length_c 13.330
_cell_angle_alpha 90.00
_cell_angle_beta 90.00
_cell_angle_gamma 90.00
loop_
_symmetry_equiv_pos_as_xyz
'x,y,z'
'-x,-y,z'
'-x,y,z'
'x,-y,z'
'x,y+1/2,z+1/2'
'-x,-y+1/2,z+1/2'
'-x,y+1/2,z+1/2'
'x,-y+1/2,z+1/2'
loop_
_atom_site_label
_atom_site_type_symbol
_atom_site_fract_x
_atom_site_fract_y
_atom_site_fract_z
Cs1 Cs 0.000 0.000 0.000
Hg1 Hg 0.000 0.199 0.270
Hg2 Hg 0.175 0.000 0.665
Hg3 Hg 0.278 0.195 0.433
Hg4 Hg 0.306 0.000 0.199
Hg5 Hg 0.500 0.000 0.567
Hg6 Hg 0.500 0.000 0.992
Hg7 Hg 0.500 0.192 0.765
Au1 Au 0.000 0.000 0.468
# Total moment   0.0 μB per formula unit
# Crystal system   orthorhombic
# Density of states at the Fermi level   0.15 states/eV per atom

Record order is preserved below.
Raw total energy: -62.57; -19.18; -29.58; -18.32 eV/cell